Record 1
K3MgZr3Te8 (GGA-PBE, optimized geometry); calculated total energy = -4.661 eV per atom; formation energy (no corrections) = -0.950 eV/atom
1.0
-0.4648 2.7022 -7.9224
2.7453 -7.7554 1.6258
-9.5873 1.3596 1.0275
Te Zr Mg K
8 3 1 3
Cartesian
-3.1336 2.1862 -5.6809 Te
-1.5124 -3.0005 -0.9362 Te
-1.7862 -1.6162 -4.8836 Te
-2.9059 0.8615 -1.7960 Te
-4.1732 -5.8798 0.4119 Te
-5.7943 -0.6931 -4.3328 Te
-5.5206 -2.0774 -0.3854 Te
-4.4009 -4.5551 -3.4730 Te
-5.0260 2.0309 -3.4474 Zr
-3.6534 -1.8468 -2.6345 Zr
-3.4210 -3.1979 1.3267 Zr
-4.7936 0.6798 0.5138 Mg
1.1402 -2.5266 -3.1483 K
0.0000 0.0000 0.0000 K
1.3727 -3.8777 0.8129 K


Record 2
PmTmF6 (GGA-PBE, optimized geometry); calculated total energy = -6.663 eV per atom; formation energy (no corrections) = -4.107 eV/atom
1.0
-1.3986 -4.3662 3.7366
2.0942 -5.4583 -0.9077
4.4662 -2.1373 3.8613
Tm F Pm
1 6 1
Cartesian
0.0000 0.0000 0.0000 Tm
2.6670 -5.8105 5.6067 F
3.8342 -4.0914 3.2392 F
2.4948 -6.1513 1.0835 F
1.3276 -7.8703 3.4510 F
0.6449 -4.8011 3.2451 F
4.5169 -7.1606 3.4452 F
2.5809 -5.9809 3.3451 Pm


Record 3
Sr2ZrNi (GGA-PBE, optimized geometry); energy of formation = 95 meV/atom; calculated total energy = -4.328 eV per atom
1.0
3.5470 0.0000 0.0000
0.0000 3.5470 0.0000
0.0000 0.0000 9.7450
Ni Sr Zr
1 2 1
Cartesian
1.7735 1.7735 6.6519 Ni
1.7735 1.7735 2.9639 Sr
0.0000 0.0000 9.0278 Sr
0.0000 0.0000 5.7189 Zr


Record 4
SnHg (GGA-PBE, optimized geometry); energy of formation = 68 meV/atom; calculated total energy = -2.084 eV per atom
1.0
3.6642 0.0000 0.0000
0.0000 3.3528 0.4851
0.0000 0.6088 8.9823
Sn Hg
2 2
Cartesian
0.9160 1.2018 3.5323 Sn
2.7481 2.7598 5.9351 Sn
0.9160 3.4746 8.3469 Hg
2.7481 0.4869 1.1205 Hg


Question: Look up the calculated total energy of the first one.
Answer: -4.661 eV per atom